A relaxed structure of HfMo2, computed with GGA-PBE.

a b c (Å): 7.573 7.573 7.573
angles (deg): 90.00 90.00 90.00
Space group Fd-3m (No. 227, origin choice 2)
Symmetry-distinct sites (fractional):
Hf 0.125 0.125 0.125
Mo 0.000 0.000 0.500

Calculated formation energy in eV/atom: -0.183
Energy above the lowest structure with this stoichiometry in meV per atom: 0.0